# ScSbP2 | the Alexandria database | GGA-PBE | relaxed
# * V: 20.84 Å³ per atom
# * raw formation energy: -0.547 eV/atom
data_ScSbP2
_chemical_formula_sum 'Sc3 Sb3 P6'
_space_group_name_H-M_alt 'R -3 m'
_space_group_IT_number 166
_space_group_name_Hall '-R 3 2"'
_cell_length_a 3.8567
_cell_length_b 3.8567
_cell_length_c 19.4166
_cell_angle_alpha 90.00
_cell_angle_beta 90.00
_cell_angle_gamma 120.00
loop_
_atom_site_label
_atom_site_type_symbol
_atom_site_fract_x
_atom_site_fract_y
_atom_site_fract_z
_atom_site_occupancy
Sc1 Sc 0.0000 0.0000 0.0000 1
Sb1 Sb 0.0000 0.0000 0.5000 1
P1 P 0.0000 0.0000 0.2541 1

=====

# Sc2SbP2 | the Alexandria database | GGA-PBE | relaxed
# * V: 19.37 Å³ per atom
# * energy relative to the lowest polymorph listed for this composition: 117 meV per atom
# * raw formation energy: -0.771 eV/atom
data_Sc2SbP2
_chemical_formula_sum 'Sc4 Sb2 P4'
_space_group_name_H-M_alt 'P 4/m b m'
_space_group_IT_number 127
_space_group_name_Hall '-P 4 2ab'
_cell_length_a 7.477
_cell_length_b 7.477
_cell_length_c 3.466
_cell_angle_alpha 90.00
_cell_angle_beta 90.00
_cell_angle_gamma 90.00
loop_
_atom_site_label
_atom_site_type_symbol
_atom_site_fract_x
_atom_site_fract_y
_atom_site_fract_z
_atom_site_occupancy
Sc1 Sc 0.152 0.348 0.000 1
Sb1 Sb 0.000 0.000 0.500 1
P1 P 0.146 0.646 0.500 1

=====

# ScSbP2 | the Alexandria database | GGA-PBE | relaxed
# * V: 21.34 Å³ per atom
# * raw formation energy: -0.432 eV/atom
data_ScSbP2
_chemical_formula_sum 'Sc1 Sb1 P2'
_space_group_name_H-M_alt 'P 1 2/m 1'
_space_group_IT_number 10
_space_group_name_Hall '-P 2y'
_cell_length_a 4.147
_cell_length_b 3.810
_cell_length_c 5.597
_cell_angle_alpha 90.00
_cell_angle_beta 105.20
_cell_angle_gamma 90.00
loop_
_atom_site_label
_atom_site_type_symbol
_atom_site_fract_x
_atom_site_fract_y
_atom_site_fract_z
_atom_site_occupancy
Sc1 Sc 0.000 0.000 0.000 1
Sb1 Sb 0.500 0.000 0.500 1
P1 P 0.317 0.500 0.812 1

=====

# ScSbP2 | the Alexandria database | GGA-PBE | relaxed
# * V: 21.55 Å³ per atom
# * raw formation energy: -0.254 eV/atom
data_ScSbP2
_chemical_formula_sum 'Sc1 Sb1 P2'
_space_group_name_H-M_alt 'P 4 m m'
_space_group_IT_number 99
_space_group_name_Hall 'P 4 -2'
_cell_length_a 3.184
_cell_length_b 3.184
_cell_length_c 8.501
_cell_angle_alpha 90.00
_cell_angle_beta 90.00
_cell_angle_gamma 90.00
loop_
_atom_site_label
_atom_site_type_symbol
_atom_site_fract_x
_atom_site_fract_y
_atom_site_fract_z
_atom_site_occupancy
Sc1 Sc 0.000 0.000 0.000 1
Sb1 Sb 0.500 0.500 0.732 1
P1 P 0.000 0.000 0.309 1
P2 P 0.500 0.500 0.211 1

=====

# Sc3SbP5 | the Alexandria database | GGA-PBE | relaxed
# * V: 18.17 Å³ per atom
# * raw formation energy: -0.488 eV/atom
data_Sc3SbP5
_chemical_formula_sum 'Sc6 Sb2 P10'
_space_group_name_H-M_alt 'P 63/m c m'
_space_group_IT_number 193
_space_group_name_Hall '-P 6c 2'
_cell_length_a 8.1922
_cell_length_b 8.1922
_cell_length_c 5.6279
_cell_angle_alpha 90.00
_cell_angle_beta 90.00
_cell_angle_gamma 120.00
loop_
_atom_site_label
_atom_site_type_symbol
_atom_site_fract_x
_atom_site_fract_y
_atom_site_fract_z
_atom_site_occupancy
Sc1 Sc 0.0000 0.3824 0.2500 1
Sb1 Sb 0.0000 0.0000 0.0000 1
P1 P 0.0000 0.2866 0.7500 1
P2 P 0.3333 0.6667 0.0000 1

=====

# ScSbP3 | the Alexandria database | GGA-PBE | relaxed
# * V: 23.83 Å³ per atom
# * energy relative to the lowest polymorph listed for this composition: 0 meV per atom
# * raw formation energy: 0.478 eV/atom
data_ScSbP3
_chemical_formula_sum 'Sc1 Sb1 P3'
_space_group_name_H-M_alt 'P m -3 m'
_space_group_IT_number 221
_space_group_name_Hall '-P 4 2 3'
_cell_length_a 4.921
_cell_length_b 4.921
_cell_length_c 4.921
_cell_angle_alpha 90.00
_cell_angle_beta 90.00
_cell_angle_gamma 90.00
loop_
_atom_site_label
_atom_site_type_symbol
_atom_site_fract_x
_atom_site_fract_y
_atom_site_fract_z
_atom_site_occupancy
Sc1 Sc 0.000 0.000 0.000 1
Sb1 Sb 0.500 0.500 0.500 1
P1 P 0.000 0.000 0.500 1